This record from the Alexandria database describes crystalline Zr2TlCr at its relaxed geometry. The functional is PBE.

energy relative to the lowest polymorph listed for this composition = 0.177 eV/atom
final energy = -7.044 eV/atom
crystal system = cubic
formation energy = 227.2 meV/atom

CIF file:
```
data_Zr2TlCr
_chemical_formula_sum 'Zr8 Tl4 Cr4'
_symmetry_space_group_name_H-M 'F -4 3 m'
_symmetry_Int_Tables_number 216
_symmetry_space_group_name_Hall 'F -4 2 3'
_cell_length_a 6.9085
_cell_length_b 6.9085
_cell_length_c 6.9085
_cell_angle_alpha 90.00
_cell_angle_beta 90.00
_cell_angle_gamma 90.00
loop_
_atom_site_label
_atom_site_type_symbol
_atom_site_fract_x
_atom_site_fract_y
_atom_site_fract_z
Zr1 Zr 0.0000 0.0000 0.0000
Zr2 Zr 0.2500 0.2500 0.2500
Tl1 Tl 0.2500 0.2500 0.7500
Cr1 Cr 0.0000 0.0000 0.5000
```

This record from the Alexandria database describes crystalline ZrTl2Cr at its relaxed geometry. The functional is PBE.

energy relative to the lowest polymorph listed for this composition = 0.100 eV/atom
final energy = -5.337 eV/atom
crystal system = trigonal
formation energy = 388.7 meV/atom

CIF file:
```
data_ZrTl2Cr
_chemical_formula_sum 'Zr3 Tl6 Cr3'
_symmetry_space_group_name_H-M 'R 3 m'
_symmetry_Int_Tables_number 160
_symmetry_space_group_name_Hall 'R 3 -2"'
_cell_length_a 3.3305
_cell_length_b 3.3305
_cell_length_c 29.3193
_cell_angle_alpha 90.00
_cell_angle_beta 90.00
_cell_angle_gamma 120.00
loop_
_atom_site_label
_atom_site_type_symbol
_atom_site_fract_x
_atom_site_fract_y
_atom_site_fract_z
Zr1 Zr 0.0000 0.0000 0.0000
Tl1 Tl 0.0000 0.0000 0.2448
Tl2 Tl 0.0000 0.0000 0.4838
Cr1 Cr 0.0000 0.0000 0.7356
```

This record from the Alexandria database describes crystalline ZrTlCr2 at its relaxed geometry. The functional is PBE.

energy relative to the lowest polymorph listed for this composition = 0.423 eV/atom
final energy = -6.918 eV/atom
crystal system = trigonal
formation energy = 622.5 meV/atom

CIF file:
```
data_ZrTlCr2
_chemical_formula_sum 'Zr3 Tl3 Cr6'
_symmetry_space_group_name_H-M 'R -3 m'
_symmetry_Int_Tables_number 166
_symmetry_space_group_name_Hall '-R 3 2"'
_cell_length_a 3.1836
_cell_length_b 3.1836
_cell_length_c 27.3945
_cell_angle_alpha 90.00
_cell_angle_beta 90.00
_cell_angle_gamma 120.00
loop_
_atom_site_label
_atom_site_type_symbol
_atom_site_fract_x
_atom_site_fract_y
_atom_site_fract_z
Zr1 Zr 0.0000 0.0000 0.0000
Tl1 Tl 0.0000 0.0000 0.5000
Cr1 Cr 0.0000 0.0000 0.2532
```

This record from the Alexandria database describes crystalline ZrTl2Cr at its relaxed geometry. The functional is PBE.

energy relative to the lowest polymorph listed for this composition = 0.063 eV/atom
final energy = -5.374 eV/atom
crystal system = monoclinic
formation energy = 352.0 meV/atom

CIF file:
```
data_ZrTl2Cr
_chemical_formula_sum 'Zr1 Tl2 Cr1'
_symmetry_space_group_name_H-M 'P 1 m 1'
_symmetry_Int_Tables_number 6
_cell_length_a 3.3938
_cell_length_b 4.0239
_cell_length_c 6.5931
_cell_angle_alpha 90.00
_cell_angle_beta 90.19
_cell_angle_gamma 90.00
loop_
_symmetry_equiv_pos_as_xyz
'x,y,z'
'x,-y,z'
loop_
_atom_site_label
_atom_site_type_symbol
_atom_site_fract_x
_atom_site_fract_y
_atom_site_fract_z
Zr1 Zr 0.0000 0.0000 0.0000
Tl1 Tl 0.4989 0.5000 0.7389
Tl2 Tl 0.9994 0.0000 0.4546
Cr1 Cr 0.5013 0.5000 0.1944
```

This record from the Alexandria database describes crystalline ZrTlCr2 at its relaxed geometry. The functional is PBE.

energy relative to the lowest polymorph listed for this composition = 0.214 eV/atom
final energy = -7.127 eV/atom
crystal system = tetragonal
formation energy = 413.5 meV/atom

CIF file:
```
data_ZrTlCr2
_chemical_formula_sum 'Zr1 Tl1 Cr2'
_symmetry_space_group_name_H-M 'P 4/m m m'
_symmetry_Int_Tables_number 123
_symmetry_space_group_name_Hall '-P 4 2'
_cell_length_a 4.3760
_cell_length_b 4.3760
_cell_length_c 3.7655
_cell_angle_alpha 90.00
_cell_angle_beta 90.00
_cell_angle_gamma 90.00
loop_
_atom_site_label
_atom_site_type_symbol
_atom_site_fract_x
_atom_site_fract_y
_atom_site_fract_z
Zr1 Zr 0.0000 0.0000 0.0000
Tl1 Tl 0.5000 0.5000 0.0000
Cr1 Cr 0.0000 0.5000 0.5000
```

This record from the Alexandria database describes crystalline ZrTl3Cr at its relaxed geometry. The functional is PBE.

energy relative to the lowest polymorph listed for this composition = 0.000 eV/atom
final energy = -4.201 eV/atom
crystal system = cubic
formation energy = 853.2 meV/atom

CIF file:
```
data_ZrTl3Cr
_chemical_formula_sum 'Zr1 Tl3 Cr1'
_symmetry_space_group_name_H-M 'P m -3 m'
_symmetry_Int_Tables_number 221
_symmetry_space_group_name_Hall '-P 4 2 3'
_cell_length_a 5.1071
_cell_length_b 5.1071
_cell_length_c 5.1071
_cell_angle_alpha 90.00
_cell_angle_beta 90.00
_cell_angle_gamma 90.00
loop_
_atom_site_label
_atom_site_type_symbol
_atom_site_fract_x
_atom_site_fract_y
_atom_site_fract_z
Zr1 Zr 0.0000 0.0000 0.0000
Tl1 Tl 0.0000 0.5000 0.5000
Cr1 Cr 0.5000 0.5000 0.5000
```

This record from the Alexandria database describes crystalline ZrTl2Cr at its relaxed geometry. The functional is PBE.

energy relative to the lowest polymorph listed for this composition = 0.060 eV/atom
final energy = -5.377 eV/atom
crystal system = orthorhombic
formation energy = 348.6 meV/atom

CIF file:
```
data_ZrTl2Cr
_chemical_formula_sum 'Zr2 Tl4 Cr2'
_symmetry_space_group_name_H-M 'C m m m'
_symmetry_Int_Tables_number 65
_symmetry_space_group_name_Hall '-C 2 2'
_cell_length_a 6.6921
_cell_length_b 7.7760
_cell_length_c 3.4248
_cell_angle_alpha 90.00
_cell_angle_beta 90.00
_cell_angle_gamma 90.00
loop_
_atom_site_label
_atom_site_type_symbol
_atom_site_fract_x
_atom_site_fract_y
_atom_site_fract_z
Zr1 Zr 0.0000 0.0000 0.0000
Tl1 Tl 0.2500 0.2500 0.5000
Cr1 Cr 0.0000 0.5000 0.0000
```

This record from the Alexandria database describes crystalline Zr2TlCr at its relaxed geometry. The functional is PBE.

energy relative to the lowest polymorph listed for this composition = 0.000 eV/atom
final energy = -7.221 eV/atom
crystal system = orthorhombic
formation energy = 50.1 meV/atom

CIF file:
```
data_Zr2TlCr
_chemical_formula_sum 'Zr2 Tl1 Cr1'
_symmetry_space_group_name_H-M 'P m m m'
_symmetry_Int_Tables_number 47
_cell_length_a 3.3046
_cell_length_b 3.3175
_cell_length_c 7.3836
_cell_angle_alpha 90.00
_cell_angle_beta 90.00
_cell_angle_gamma 90.00
loop_
_symmetry_equiv_pos_as_xyz
'x,y,z'
'-x,-y,-z'
'-x,-y,z'
'x,y,-z'
'x,-y,-z'
'-x,y,z'
'-x,y,-z'
'x,-y,z'
loop_
_atom_site_label
_atom_site_type_symbol
_atom_site_fract_x
_atom_site_fract_y
_atom_site_fract_z
Zr1 Zr 0.0000 0.0000 0.2080
Tl1 Tl 0.5000 0.5000 0.5000
Cr1 Cr 0.5000 0.5000 0.0000
```

Please write out number 2 again, unchanged.
This record from the Alexandria database describes crystalline ZrTl2Cr at its relaxed geometry. The functional is PBE.

energy relative to the lowest polymorph listed for this composition = 0.100 eV/atom
final energy = -5.337 eV/atom
crystal system = trigonal
formation energy = 388.7 meV/atom

CIF file:
```
data_ZrTl2Cr
_chemical_formula_sum 'Zr3 Tl6 Cr3'
_symmetry_space_group_name_H-M 'R 3 m'
_symmetry_Int_Tables_number 160
_symmetry_space_group_name_Hall 'R 3 -2"'
_cell_length_a 3.3305
_cell_length_b 3.3305
_cell_length_c 29.3193
_cell_angle_alpha 90.00
_cell_angle_beta 90.00
_cell_angle_gamma 120.00
loop_
_atom_site_label
_atom_site_type_symbol
_atom_site_fract_x
_atom_site_fract_y
_atom_site_fract_z
Zr1 Zr 0.0000 0.0000 0.0000
Tl1 Tl 0.0000 0.0000 0.2448
Tl2 Tl 0.0000 0.0000 0.4838
Cr1 Cr 0.0000 0.0000 0.7356
```

Among the records above, which one has the highest energy relative to the lowest polymorph listed for this composition? number 3

Look up the energy relative to the lowest polymorph listed for this composition of the seventh one. 0.060 eV/atom